{"formula": "BiPPdAuN", "functional": "PBE", "state": "optimized geometry", "lattice": [[-0.8677, -3.1678, -0.4887], [3.0680, -0.4145, -2.8217], [4.9046, -1.9651, 3.9950]], "species": ["Au", "Bi", "N", "Pd", "P"], "fractional_positions": [[0.1611, 0.7456, 0.7626], [0.6537, 0.2749, 0.5210], [0.1639, 0.5877, 0.2496], [0.6638, 0.9646, 0.1469], [0.1631, 0.3490, 0.0729]], "crystal_system": "triclinic", "e_form_raw_kj_per_mol_atoms": 11, "vol_a3_per_atom": 18.2, "final_energy_ev_per_cell": -25.5, "relative_energy_kj_per_mol_fu": 30, "density_g_cm3": 10.18}

---

{"formula": "BiPPdAuN", "functional": "PBE", "state": "optimized geometry", "lattice": [[-0.2761, 1.5975, 2.4107], [-2.8381, -1.9465, 0.9648], [5.3834, -6.3211, 3.0836]], "species": ["P", "N", "Pd", "Bi", "Au"], "fractional_positions": [[0.7881, 0.5000, 0.8093], [0.2331, 0.5000, 0.6976], [0.8731, 0.0000, 0.9788], [0.0174, 0.5000, 0.2513], [0.1410, 0.0000, 0.5100]], "crystal_system": "monoclinic", "e_form_raw_kj_per_mol_atoms": 9, "vol_a3_per_atom": 18.2, "final_energy_ev_per_cell": -25.6, "relative_energy_kj_per_mol_fu": 17, "density_g_cm3": 10.20}

---

{"formula": "BiPPdAuN", "functional": "PBE", "state": "optimized geometry", "lattice": [[-1.3380, 4.3694, -0.0009], [-0.8907, -0.2734, -3.4541], [-10.0159, -4.4538, 2.9353]], "species": ["Pd", "Pd", "Au", "Au", "N", "N", "P", "P", "Bi", "Bi"], "fractional_positions": [[0.1993, 0.0000, 0.9150], [0.1993, 0.5000, 0.4150], [0.9731, 0.5000, 0.1663], [0.9731, 0.0000, 0.6663], [0.5381, 0.0000, 0.3987], [0.5381, 0.5000, 0.8987], [0.8894, 0.0000, 0.4494], [0.8894, 0.5000, 0.9494], [0.4781, 0.0000, 0.1942], [0.4781, 0.5000, 0.6942]], "crystal_system": "monoclinic", "e_form_raw_kj_per_mol_atoms": 5, "vol_a3_per_atom": 18.4, "final_energy_ev_per_cell": -51.6, "relative_energy_kj_per_mol_fu": 0, "density_g_cm3": 10.05}

---

{"formula": "BiPRuAuSN", "functional": "PBE", "state": "optimized geometry", "lattice": [[3.6818, 0.0073, -0.0047], [-1.0138, 4.5271, -0.0314], [-1.1357, -2.3175, 6.6479]], "species": ["Au", "Ru", "N", "P", "S", "Bi"], "fractional_positions": [[0.0747, 0.6018, 0.0192], [0.2744, 0.9902, 0.8008], [0.4941, 0.2953, 0.6244], [0.6661, 0.6845, 0.7470], [0.5500, 0.3392, 0.1447], [0.8780, 0.0283, 0.4316]], "crystal_system": "triclinic", "e_form_raw_kj_per_mol_atoms": 9, "vol_a3_per_atom": 18.4, "final_energy_ev_per_cell": -33.7, "relative_energy_kj_per_mol_fu": 31, "density_g_cm3": 8.77}

---

{"formula": "BiPRuAuSN", "functional": "PBE", "state": "optimized geometry", "lattice": [[-4.2736, 2.3335, -0.4418], [-0.6570, -0.5670, 3.3604], [4.1045, 5.4985, 1.7303]], "species": ["Au", "N", "P", "Ru", "Bi", "S"], "fractional_positions": [[0.1600, 0.5000, 0.8542], [0.2756, 0.0000, 0.3750], [0.1656, 0.0000, 0.1409], [0.4898, 0.5000, 0.2346], [0.9102, 0.0000, 0.5466], [0.7059, 0.0000, 0.0808]], "crystal_system": "monoclinic", "e_form_raw_kj_per_mol_atoms": 20, "vol_a3_per_atom": 19.8, "final_energy_ev_per_cell": -33.1, "relative_energy_kj_per_mol_fu": 94, "density_g_cm3": 8.18}

---

{"formula": "BiPRuAuSN", "functional": "PBE", "state": "optimized geometry", "lattice": [[3.5755, -0.0081, -0.0005], [1.7648, 5.7817, -0.0015], [0.3682, 0.4443, 6.0638]], "species": ["P", "Au", "Ru", "Bi", "S", "N"], "fractional_positions": [[0.8451, 0.3096, 0.9086], [0.8074, 0.4819, 0.5454], [0.4651, 0.0658, 0.8919], [0.0715, 0.9410, 0.5552], [0.8527, 0.6007, 0.1560], [0.4918, 0.8332, 0.1144]], "crystal_system": "triclinic", "e_form_raw_kj_per_mol_atoms": 26, "vol_a3_per_atom": 20.9, "final_energy_ev_per_cell": -32.7, "relative_energy_kj_per_mol_fu": 128, "density_g_cm3": 7.73}

---

{"formula": "BiPRuAuSN", "functional": "PBE", "state": "optimized geometry", "lattice": [[3.8077, 0.0088, -0.0054], [0.0539, 4.6633, 0.0340], [1.1057, 1.1868, 6.2763]], "species": ["Au", "N", "Bi", "Ru", "S", "P"], "fractional_positions": [[0.7485, 0.3154, 0.7576], [0.1491, 0.3980, 0.4274], [0.3308, 0.7896, 0.5768], [0.4869, 0.1839, 0.1847], [0.0121, 0.9172, 0.0765], [0.9670, 0.4565, 0.2091]], "crystal_system": "triclinic", "e_form_raw_kj_per_mol_atoms": 16, "vol_a3_per_atom": 18.6, "final_energy_ev_per_cell": -33.3, "relative_energy_kj_per_mol_fu": 68, "density_g_cm3": 8.71}

---

{"formula": "BiPRuAuSN", "functional": "PBE", "state": "optimized geometry", "lattice": [[5.4086, 0.0000, 0.0000], [0.0000, 3.2963, 0.0000], [-0.1177, 0.0000, 6.3405]], "species": ["Ru", "N", "S", "P", "Bi", "Au"], "fractional_positions": [[0.2592, 0.5000, 0.1022], [0.8962, 0.5000, 0.1758], [0.6739, 0.5000, 0.0065], [0.2336, 0.0000, 0.8646], [0.8201, 0.5000, 0.5289], [0.3491, 0.0000, 0.4935]], "crystal_system": "monoclinic", "e_form_raw_kj_per_mol_atoms": 19, "vol_a3_per_atom": 18.8, "final_energy_ev_per_cell": -33.1, "relative_energy_kj_per_mol_fu": 86, "density_g_cm3": 8.58}